A relaxed CaH2PdS crystal. Source: Alexandria via LeMat-Bulk, functional GGA-PBE.

Results
D(E_F) = 1.6 states/eV/cell
density = 4.3 g/cm3
crystal system = tetragonal
E_tot = -21.456 eV for the cell shown

Structure (CIF):
```
data_CaH2PdS
_symmetry_space_group_name_H-M 'P 4/m m m'
_symmetry_Int_Tables_number 123
_symmetry_space_group_name_Hall '-P 4 2'
_cell_length_a 3.780
_cell_length_b 3.780
_cell_length_c 4.922
_cell_angle_alpha 90.00
_cell_angle_beta 90.00
_cell_angle_gamma 90.00
loop_
_atom_site_label
_atom_site_type_symbol
_atom_site_fract_x
_atom_site_fract_y
_atom_site_fract_z
_atom_site_occupancy
Ca1 Ca 0.000 0.000 0.000 1
H1 H 0.000 0.500 0.500 1
Pd1 Pd 0.500 0.500 0.500 1
S1 S 0.500 0.500 0.000 1
```